NiSbRhO6 | GGA+U | relaxed

## Properties
- Symmetry: P-31c (163)
- Total energy: -52.25 eV/f.u.
- DOS at the Fermi energy: 0.530 states/eV per atom

Lattice parameters (Å, degrees): 5.198 5.198 8.776 90.00 90.00 120.00
Positions (direct):
Ni (0.000, 0.000, 0.000)
Ni (0.000, 0.000, 0.500)
Sb (0.333, 0.667, 0.250)
Sb (0.667, 0.333, 0.750)
Rh (0.333, 0.667, 0.750)
Rh (0.667, 0.333, 0.250)
O (0.004, 0.349, 0.629)
O (0.004, 0.655, 0.871)
O (0.345, 0.349, 0.871)
O (0.345, 0.996, 0.629)
O (0.349, 0.004, 0.129)
O (0.349, 0.345, 0.371)
O (0.651, 0.655, 0.629)
O (0.651, 0.996, 0.871)
O (0.655, 0.004, 0.371)
O (0.655, 0.651, 0.129)
O (0.996, 0.345, 0.129)
O (0.996, 0.651, 0.371)